Here is crystalline Y3TeSe at its relaxed geometry from Alexandria. Energies are from PBE.

It has space group P2_1/m (No. 11), with a = 7.2419 Å, b = 3.9873 Å, c = 10.1473 Å, α = 90.00°, β = 93.50° and γ = 90.00°. Symmetry generates all atoms from Y at (0.1334, 0.2500, 0.1151), Y at (0.2559, 0.2500, 0.5050), Y at (0.3602, 0.7500, 0.8717), Te at (0.3967, 0.7500, 0.2940) and Se at (0.0859, 0.7500, 0.6572).

Its raw total energy is -6.36 eV per atom. The value obtained for the uncorrected formation energy is -1154 meV per atom. As for the volume: 146.2 Å³/f.u. The energy above the most stable polymorph in this dataset is 0 meV/atom. For the density of states at the Fermi level, the calculation gives 8.12 states/eV per cell.

---

Here is crystalline LiHfGaAg2 at its relaxed geometry from Alexandria. Energies are from PBE.

It has space group P4/mmm (No. 123), with a = 4.7530 Å, b = 4.7530 Å, c = 4.4221 Å, α = 90.00°, β = 90.00° and γ = 90.00°. Symmetry generates all atoms from Li at (0.0000, 0.0000, 0.0000), Hf at (0.5000, 0.5000, 0.0000), Ga at (0.0000, 0.0000, 0.5000) and Ag at (0.0000, 0.5000, 0.5000).

Its raw total energy is -3.60 eV per atom. As for the volume: 99.9 Å³/f.u. The value obtained for the formation energy is 0.51 eV/atom. For the density of states at the Fermi level, the calculation gives 3.38 states/eV per cell.

---

- volume of number 1 (Y3TeSe)?
  146.2 Å³/f.u.

---

- Which of these has the lowest raw total energy?
  Y3TeSe

---

- The lowest volume belongs to which entry?
  LiHfGaAg2

---

- Among the records above, which one has the lowest volume?
  LiHfGaAg2